No. 1
# SrSeBr2O, relaxed, DFT GGA-PBE
data_SrSeBr2O
_space_group_name_H-M_alt 'P 1'
_space_group_IT_number 1
_cell_length_a 5.905
_cell_length_b 5.905
_cell_length_c 6.453
_cell_angle_alpha 90.00
_cell_angle_beta 90.00
_cell_angle_gamma 90.00
loop_
_space_group_symop_operation_xyz
'x,y,z'
loop_
_atom_site_label
_atom_site_type_symbol
_atom_site_fract_x
_atom_site_fract_y
_atom_site_fract_z
Se1 Se 0.000 0.000 0.500
O1 O 0.500 0.500 0.500
Br1 Br 0.000 0.500 0.000
Br2 Br 0.500 0.000 0.000
Sr1 Sr 0.000 0.000 0.000
# Electronic total energy, eV for the cell shown: -12.67
# Calculated density, g cm⁻³: 2.53
# Excess energy over the best structure of this formula in the dataset, kcal/mol of atoms: 18.473
# Symmetry: No. 123
# Uncorrected formation energy, eV per atom: 0.1607

=====

No. 2
# ZrCdH, relaxed, DFT GGA-PBE
data_ZrCdH
_space_group_name_H-M_alt 'P 1'
_space_group_IT_number 1
_cell_length_a 3.397
_cell_length_b 3.397
_cell_length_c 4.960
_cell_angle_alpha 90.00
_cell_angle_beta 90.00
_cell_angle_gamma 120.00
loop_
_space_group_symop_operation_xyz
'x,y,z'
loop_
_atom_site_label
_atom_site_type_symbol
_atom_site_fract_x
_atom_site_fract_y
_atom_site_fract_z
Cd1 Cd 0.000 0.000 0.000
Zr1 Zr 0.333 0.667 0.501
H1 H 0.667 0.333 0.499
# Electronic total energy, eV for the cell shown: -13.52
# Calculated density, g cm⁻³: 6.85
# Excess energy over the best structure of this formula in the dataset, kcal/mol of atoms: 0.766
# Symmetry: No. 156

=====

No. 3
# Y2TmSi2, relaxed, DFT GGA-PBE
data_Y2TmSi2
_space_group_name_H-M_alt 'P 1'
_space_group_IT_number 1
_cell_length_a 4.229
_cell_length_b 7.433
_cell_length_c 7.433
_cell_angle_alpha 90.00
_cell_angle_beta 90.00
_cell_angle_gamma 90.00
loop_
_space_group_symop_operation_xyz
'x,y,z'
loop_
_atom_site_label
_atom_site_type_symbol
_atom_site_fract_x
_atom_site_fract_y
_atom_site_fract_z
Tm1 Tm 0.000 0.000 0.000
Si1 Si 0.000 0.118 0.382
Y1 Y 0.500 0.676 0.824
Si2 Si 0.000 0.382 0.882
Tm2 Tm 0.000 0.500 0.500
Si3 Si 0.000 0.618 0.118
Si4 Si 0.000 0.882 0.618
Y2 Y 0.500 0.176 0.676
Y3 Y 0.500 0.324 0.176
Y4 Y 0.500 0.824 0.324
# Electronic total energy, eV for the cell shown: -63.84
# Calculated density, g cm⁻³: 5.73
# Excess energy over the best structure of this formula in the dataset, kcal/mol of atoms: 0.000
# Symmetry: No. 127
# Uncorrected formation energy, eV per atom: -0.7351

=====

No. 4
# TeSeCl, relaxed, DFT GGA-PBE
data_TeSeCl
_space_group_name_H-M_alt 'P 1'
_space_group_IT_number 1
_cell_length_a 6.331
_cell_length_b 6.331
_cell_length_c 6.331
_cell_angle_alpha 146.72
_cell_angle_beta 146.72
_cell_angle_gamma 47.77
loop_
_space_group_symop_operation_xyz
'x,y,z'
loop_
_atom_site_label
_atom_site_type_symbol
_atom_site_fract_x
_atom_site_fract_y
_atom_site_fract_z
Se1 Se 0.301 0.301 0.000
Cl1 Cl 0.009 0.009 0.000
Te1 Te 0.691 0.691 0.000
# Electronic total energy, eV for the cell shown: -8.30
# Calculated density, g cm⁻³: 5.28
# Excess energy over the best structure of this formula in the dataset, kcal/mol of atoms: 7.116
# Symmetry: No. 107
# Uncorrected formation energy, eV per atom: 0.0577

=====

No. 5
# NaTb2Pd9, relaxed, DFT GGA-PBE
data_NaTb2Pd9
_space_group_name_H-M_alt 'P 1'
_space_group_IT_number 1
_cell_length_a 4.141
_cell_length_b 4.141
_cell_length_c 12.079
_cell_angle_alpha 90.00
_cell_angle_beta 90.00
_cell_angle_gamma 90.00
loop_
_space_group_symop_operation_xyz
'x,y,z'
loop_
_atom_site_label
_atom_site_type_symbol
_atom_site_fract_x
_atom_site_fract_y
_atom_site_fract_z
Pd1 Pd 0.000 0.500 0.163
Pd2 Pd 0.500 0.000 0.837
Pd3 Pd 0.500 0.000 0.163
Pd4 Pd 0.000 0.500 0.837
Pd5 Pd 0.500 0.000 0.500
Tb1 Tb 0.000 0.000 0.671
Tb2 Tb 0.000 0.000 0.329
Pd6 Pd 0.500 0.500 0.000
Pd7 Pd 0.500 0.500 0.670
Na1 Na 0.000 0.000 0.000
Pd8 Pd 0.500 0.500 0.330
Pd9 Pd 0.000 0.500 0.500
# ΔE_f, eV/f.u.: -6.96
# Electronic total energy, eV for the cell shown: -64.27
# Calculated density, g cm⁻³: 10.41
# Symmetry: No. 123